4
Lattice="-0.8624 3.0722 -2.7244 2.8617 -2.0710 -3.2412 -3.7180 -2.5244 -1.6697" Properties=species:S:1:pos:R:3 comment="ErAgSb2 | the Alexandria database | PBE-GGA | relaxed" dft_energy_ev_per_cell=-17.4 volume_a3_per_atom=24.11 spacegroup="No. 123" m_tot_mub_per_fu=0.0 crystal_system=tetragonal e_form_raw_kj_per_mol_atoms=-42.61 pbc="T T T"
Sb -1.8590 -1.2622 -0.8348
Sb 1.4308 -1.0355 -1.6206
Ag -0.4312 1.5361 -1.3622
Er -0.8594 -0.7616 -3.8177



12
Lattice="8.0931 -0.0333 0.0000 -3.2986 7.3905 0.0000 -2.3973 -3.6786 6.7986" Properties=species:S:1:pos:R:3 comment="Er4AgSb | the Alexandria database | PBE-GGA | relaxed" dft_energy_ev_per_cell=-51.2 volume_a3_per_atom=33.82 spacegroup="No. 109" m_tot_mub_per_fu=0.0 crystal_system=tetragonal e_form_raw_kj_per_mol_atoms=-5.68 pbc="T T T"
Er -2.9084 4.4050 4.8417
Er 3.0048 0.7781 4.7060
Er 3.5551 2.8133 1.4424
Er 1.1477 -0.6321 1.3067
Er -1.2591 0.7098 5.3562
Er 4.6541 -2.9172 5.4919
Er 5.1943 -0.6488 2.0926
Er -0.4915 2.8300 1.9569
Ag 1.2441 1.9090 0.0000
Ag -2.8025 1.9257 3.3993
Sb 3.5457 5.4408 0.0000
Sb -0.5009 5.4575 3.3993



6
Lattice="-6.6441 -3.3898 3.7683 5.0511 -3.9123 5.3865 -0.8287 12.9192 10.1606" Properties=species:S:1:pos:R:3 comment="Er2AgSb3 | the Alexandria database | PBE-GGA | relaxed" dft_energy_ev_per_cell=-16.9 volume_a3_per_atom=191.54 spacegroup="No. 123" m_tot_mub_per_fu=2.1 crystal_system=tetragonal e_form_raw_kj_per_mol_atoms=119.54 pbc="T T T"
Er -0.9389 -1.4310 6.3234
Er -1.4827 7.0481 12.9920
Ag -1.2108 2.8085 9.6577
Sb -1.3422 4.8574 11.2691
Sb -1.0794 0.7597 8.0463
Sb -0.7965 -3.6511 4.5774



16
Lattice="8.0149 0.0000 0.0000 0.0000 8.0149 0.0000 -4.0075 -4.0075 6.5161" Properties=species:S:1:pos:R:3 comment="Er5Ag2Sb | the Alexandria database | PBE-GGA | relaxed" dft_energy_ev_per_cell=-72.3 volume_a3_per_atom=26.16 spacegroup="No. 140" m_tot_mub_per_fu=0.0 crystal_system=tetragonal e_form_raw_kj_per_mol_atoms=-42.51 pbc="T T T"
Er 1.2391 2.7683 4.5881
Er 5.2466 6.7758 1.9280
Er 0.0000 0.0000 0.0000
Er 4.0075 4.0075 0.0000
Er -1.2391 -2.7683 4.5881
Er 2.7683 -1.2391 4.5881
Er -2.7683 1.2391 4.5881
Er 1.2391 5.2466 1.9280
Er 6.7758 2.7683 1.9280
Er 2.7683 1.2391 1.9280
Ag 1.0813 2.9261 0.0000
Ag 5.0888 1.0813 0.0000
Ag 2.9261 6.9336 0.0000
Ag 6.9336 5.0888 0.0000
Sb 4.0075 4.0075 3.2581
Sb 0.0000 0.0000 3.2581



16
Lattice="-4.8375 2.5538 1.4119 -0.6206 -5.7917 -2.9535 0.2680 -6.4066 12.5068" Properties=species:S:1:pos:R:3 comment="Er5AgSb2 | the Alexandria database | PBE-GGA | relaxed" dft_energy_ev_per_cell=-73.3 volume_a3_per_atom=29.22 spacegroup="No. 63" m_tot_mub_per_fu=0.0 crystal_system=orthorhombic e_form_raw_kj_per_mol_atoms=-32.77 pbc="T T T"
Er -4.8129 -8.3850 9.9799
Er -4.8918 -6.4979 6.2958
Er -2.1964 -6.2765 3.8275
Er -2.2998 -3.8046 -0.9980
Er -3.0579 -1.3736 3.3105
Er -2.1323 -8.2708 7.6547
Er -2.9938 -3.3680 7.1377
Er -2.8903 -5.8398 11.9632
Er -0.3773 -1.2594 0.9853
Er -0.2984 -3.1466 4.6694
Ag -3.6675 -5.6815 9.0140
Ag -1.5227 -3.9630 1.9512
Sb -4.1383 -3.9851 4.3324
Sb -4.2176 -2.0896 0.6321
Sb -1.0519 -5.6594 6.6328
Sb -0.9726 -7.5548 10.3331



6
Lattice="5.6365 0.0000 0.0000 2.8182 4.8813 0.0000 2.8182 1.6271 4.6022" Properties=species:S:1:pos:R:3 comment="ErAg4Sb | the Alexandria database | PBE-GGA | relaxed" dft_energy_ev_per_cell=-21.0 volume_a3_per_atom=21.10 spacegroup="No. 216" m_tot_mub_per_fu=0.0 crystal_system=cubic e_form_raw_kj_per_mol_atoms=-14.74 pbc="T T T"
Sb 2.8182 1.6271 1.1505
Ag 5.6365 3.2542 0.5723
Ag 5.6365 1.6243 2.8773
Ag 7.0480 4.0692 2.8773
Ag 4.2249 4.0692 2.8773
Er 0.0000 0.0000 0.0000



4
Lattice="4.5464 0.0000 0.0000 2.2732 3.9373 0.0000 2.2732 1.3124 5.9736" Properties=species:S:1:pos:R:3 comment="ErAgSb2 | the Alexandria database | PBE-GGA | relaxed" dft_energy_ev_per_cell=-16.7 volume_a3_per_atom=26.73 spacegroup="No. 166" m_tot_mub_per_fu=0.0 crystal_system=trigonal e_form_raw_kj_per_mol_atoms=-25.30 pbc="T T T"
Sb 2.2732 1.3124 1.3999
Sb 6.8196 3.9373 4.5737
Ag 0.0000 0.0000 0.0000
Er 4.5464 2.6249 2.9868



12
Lattice="4.1370 0.0000 0.0000 0.0000 8.0717 0.4608 -2.0685 -2.1598 8.5591" Properties=species:S:1:pos:R:3 comment="Er2Ag3SbSe6 | the Alexandria database | PBE-GGA | relaxed" dft_energy_ev_per_cell=-52.7 volume_a3_per_atom=24.16 spacegroup="No. 12" m_tot_mub_per_fu=0.0 crystal_system=monoclinic e_form_raw_kj_per_mol_atoms=-80.12 pbc="T T T"
Er 2.0685 3.9999 5.9997
Er 0.0000 1.9120 3.0202
Ag 2.0685 4.0358 0.2304
Ag 2.0685 0.0317 5.7312
Ag 0.0000 5.8802 3.2887
Sb 2.0685 0.0000 0.0000
Se 0.0000 5.9782 6.1402
Se 2.0685 3.9000 3.1334
Se 2.0685 -0.0663 2.8796
Se 0.0000 2.0323 0.1378
Se 2.0685 3.8796 8.8820
Se 0.0000 2.0119 5.8865



8
Lattice="-4.1192 -1.2207 0.8398 2.1034 -2.5400 6.6256 -0.5753 5.5161 5.1969" Properties=species:S:1:pos:R:3 comment="ErAg2SbTe4 | the Alexandria database | PBE-GGA | relaxed" dft_energy_ev_per_cell=-30.5 volume_a3_per_atom=28.93 spacegroup="No. 10" m_tot_mub_per_fu=0.0 crystal_system=monoclinic e_form_raw_kj_per_mol_atoms=-42.89 pbc="T T T"
Er 0.7640 1.4881 5.9112
Ag -0.5753 5.5161 5.1969
Ag -2.3473 2.1477 3.0183
Sb -1.0079 -1.8803 3.7327
Te 1.1667 2.1896 8.9062
Te -3.7578 -0.4342 3.7561
Te -0.6188 -1.1458 6.7094
Te -1.9723 2.9012 5.9528



8
Lattice="-2.9092 -1.2376 1.5770 1.3285 -4.7258 -1.2579 5.0900 -0.8839 8.6963" Properties=species:S:1:pos:R:3 comment="Er3ScAg4 | the Alexandria database | PBE-GGA | relaxed" dft_energy_ev_per_cell=-33.9 volume_a3_per_atom=22.64 spacegroup="No. 47" formation_enthalpy_0k_mev_per_atom=-311 m_tot_mub_per_fu=0.0 crystal_system=orthorhombic pbc="T T T"
Sc -0.7903 -2.9817 0.1595
Ag 2.5450 -0.4420 4.3482
Ag 4.5350 -3.0351 5.9842
Ag 0.0000 0.0000 0.0000
Ag 1.8835 -2.5747 1.4542
Er -0.1981 -0.8370 2.9352
Er 1.7546 -3.4237 4.5077
Er 2.3789 -1.2845 7.3381



12
Lattice="5.1852 0.0000 0.0000 0.0000 6.0138 0.0000 -2.5926 0.0000 9.5225" Properties=species:S:1:pos:R:3 comment="ErSc4Ag | the Alexandria database | PBE-GGA | relaxed" dft_energy_ev_per_cell=-64.9 volume_a3_per_atom=24.75 spacegroup="No. 36" formation_enthalpy_0k_mev_per_atom=49 m_tot_mub_per_fu=0.0 crystal_system=orthorhombic pbc="T T T"
Er 2.5926 4.6098 8.3111
Er 0.0000 1.6029 1.2113
Sc 2.5926 1.5839 6.8717
Sc 0.0000 4.5908 2.6507
Sc 0.0000 0.5702 8.7163
Sc 2.5926 3.5771 0.8061
Sc 2.5926 2.4312 3.5313
Sc 0.0000 5.4381 5.9911
Sc 2.5926 5.3289 4.7067
Sc 0.0000 2.3220 4.8157
Ag 2.5926 0.1100 1.9339
Ag 0.0000 3.1169 7.5885



14
Lattice="-4.5830 5.3851 -0.3098 -4.0279 -3.2825 -4.8064 -3.7184 -2.8715 5.0761" Properties=species:S:1:pos:R:3 comment="Er3ScAg3 | the Alexandria database | PBE-GGA | relaxed" dft_energy_ev_per_cell=-59.2 volume_a3_per_atom=24.73 spacegroup="No. 65" formation_enthalpy_0k_mev_per_atom=-146 m_tot_mub_per_fu=0.0 crystal_system=orthorhombic pbc="T T T"
Er -8.2365 0.1211 -1.2503
Er -6.0244 -2.5748 -1.1564
Er -6.3050 1.8059 1.1163
Er -4.1887 -0.7717 -3.5038
Er -4.4222 2.8743 -1.6124
Er -4.0928 -0.8900 1.2103
Sc -6.6305 1.6189 -3.9392
Sc -5.6989 -2.3878 3.8992
Ag -9.5015 1.4148 -3.9002
Ag -4.8425 -3.8255 1.4582
Ag -5.1201 0.5082 3.7064
Ag -7.4869 3.0566 -1.4982
Ag -7.2093 -1.2771 -3.7465
Ag -2.8279 -2.1837 3.8602